[1]
A plane-wave DFT calculation with GGA-PBEsol was carried out for crystalline HoAu at its relaxed geometry.

Lattice parameters (Å, degrees): 3.523 3.523 3.523 90.00 90.00 90.00
Fractional positions:
Ho 0.000 0.000 0.000
Au 0.500 0.500 0.500

Properties
electronic total energy	-5.32	eV per atom
space-group type	Pm-3m (221)
energy relative to the elements	-20.29	kcal/mol of atoms



[2]
A plane-wave DFT calculation with GGA-PBEsol was carried out for crystalline HoAu3 at its relaxed geometry.

Lattice parameters (Å, degrees): 4.950 5.064 6.010 90.00 90.00 90.00
Fractional positions:
Ho 0.500 0.656 0.500
Ho 0.000 0.344 0.000
Au 0.500 0.161 0.756
Au 0.000 0.839 0.256
Au 0.000 0.333 0.500
Au 0.500 0.161 0.244
Au 0.500 0.667 0.000
Au 0.000 0.839 0.744

Properties
electronic total energy	-4.92	eV per atom
space-group type	Pmmn (59)
energy relative to the elements	-17.09	kcal/mol of atoms